An optimized crystal structure of K2PmMoO6. Source: Alexandria via LeMat-Bulk, functional GGA+U.

Unit cell a=6.2884 b=6.2884 c=30.8331 alpha=90.00 beta=90.00 gamma=120.00
Space group R-3m (No. 166, hexagonal axes)
Symmetry-distinct sites (fractional):
K1 0.0000 0.0000 0.1377 x6
K2 0.0000 0.0000 0.2648 x6
Pm1 0.0000 0.0000 0.4003 x6
Mo1 0.0000 0.0000 0.0000 x3
Mo2 0.0000 0.0000 0.5000 x3
O1 0.0431 0.5215 0.7031 x18
O2 0.0492 0.5246 0.1282 x18

## Properties
electronic total energy	-379.54	eV/cell
crystal system	trigonal
Fermi-level density of states	0.5751	states/eV per atom
total magnetization	6.4	μB per cell
volume	17.60	A^3/atom
mass density	3.92	g/cm³